Record 1
Here is a relaxed SrMgPt crystal from OQMD via LeMat-Bulk. Energies are from PBE-GGA.

POSCAR file:
```
SrMgPt
1.0
4.5360 0.0000 0.0000
-2.2680 3.9283 0.0000
0.0000 0.0000 9.4067
Sr Mg Pt
2 2 2
Direct
0.3333 0.6667 0.0000 Sr
0.6667 0.3333 0.5000 Sr
0.0000 0.0000 0.2636 Mg
0.0000 0.0000 0.7636 Mg
0.3333 0.6667 0.3214 Pt
0.6667 0.3333 0.8214 Pt
```

Values from the calculation:
Uncorrected energy: -3.6855 eV/atom
Space-group type: P6_3mc, No. 186


Record 2
Here is a relaxed SrMgPt crystal from OQMD via LeMat-Bulk. Energies are from PBE-GGA.

POSCAR file:
```
SrMgPt
1.0
5.9005 0.0000 0.0000
0.0000 4.8522 0.0000
0.0000 0.0000 10.9175
Sr Mg Pt
4 4 4
Direct
0.1384 0.2500 0.1255 Sr
0.3616 0.7500 0.6255 Sr
0.6384 0.2500 0.3745 Sr
0.8616 0.7500 0.8745 Sr
0.1091 0.7500 0.3496 Mg
0.3909 0.2500 0.8496 Mg
0.6091 0.7500 0.1504 Mg
0.8909 0.2500 0.6504 Mg
0.1375 0.2500 0.4423 Pt
0.3625 0.7500 0.9423 Pt
0.6375 0.2500 0.0577 Pt
0.8625 0.7500 0.5577 Pt
```

Values from the calculation:
Uncorrected energy: -3.7248 eV/atom
Space-group type: Pnma, No. 62


Record 3
Here is a relaxed Sr2MgPt crystal from OQMD via LeMat-Bulk. Energies are from PBE-GGA.

POSCAR file:
```
Sr2MgPt
1.0
2.0361 -6.4808 0.0000
2.0361 6.4808 0.0000
0.0000 0.0000 9.4880
Sr Mg Pt
4 2 2
Direct
0.1387 0.8613 0.5646 Sr
0.1387 0.8613 0.9354 Sr
0.8613 0.1387 0.0646 Sr
0.8613 0.1387 0.4354 Sr
0.4036 0.5964 0.7500 Mg
0.5964 0.4036 0.2500 Mg
0.2287 0.7713 0.2500 Pt
0.7713 0.2287 0.7500 Pt
```

Values from the calculation:
Uncorrected energy: -3.2371 eV/atom
Space-group type: Cmcm, No. 63


Record 4
Here is a relaxed SrMgPt crystal from OQMD via LeMat-Bulk. Energies are from PBE-GGA.

POSCAR file:
```
SrMgPt
1.0
4.3826 0.0000 0.0000
0.0000 4.3826 0.0000
0.0000 0.0000 7.7080
Sr Mg Pt
2 2 2
Direct
0.2500 0.2500 0.1513 Sr
0.7500 0.7500 0.8487 Sr
0.2500 0.7500 0.5000 Mg
0.7500 0.2500 0.5000 Mg
0.2500 0.2500 0.7133 Pt
0.7500 0.7500 0.2867 Pt
```

Values from the calculation:
Uncorrected energy: -3.8623 eV/atom
Space-group type: P4/nmm, No. 129


Record 5
Here is a relaxed SrMgPt crystal from OQMD via LeMat-Bulk. Energies are from PBE-GGA.

POSCAR file:
```
SrMgPt
1.0
7.5828 0.0000 0.0000
0.0000 4.4374 0.0000
0.0000 0.0000 8.5908
Sr Mg Pt
4 4 4
Direct
0.0265 0.2500 0.1778 Sr
0.4735 0.7500 0.6778 Sr
0.5265 0.2500 0.3222 Sr
0.9735 0.7500 0.8222 Sr
0.1383 0.2500 0.5630 Mg
0.3617 0.7500 0.0630 Mg
0.6383 0.2500 0.9370 Mg
0.8617 0.7500 0.4370 Mg
0.2201 0.7500 0.3826 Pt
0.2799 0.2500 0.8826 Pt
0.7201 0.7500 0.1174 Pt
0.7799 0.2500 0.6174 Pt
```

Values from the calculation:
Uncorrected energy: -3.8591 eV/atom
Space-group type: Pnma, No. 62


Record 6
Here is a relaxed SrMgPt crystal from OQMD via LeMat-Bulk. Energies are from PBE-GGA.

POSCAR file:
```
SrMgPt
1.0
5.8761 0.0000 0.0000
0.0000 4.5006 0.0000
0.0000 0.0000 11.1536
Sr Mg Pt
4 4 4
Direct
0.2471 0.2500 0.0011 Sr
0.2529 0.7500 0.5011 Sr
0.7471 0.2500 0.4989 Sr
0.7529 0.7500 0.9989 Sr
0.1968 0.2500 0.2831 Mg
0.3032 0.7500 0.7831 Mg
0.6968 0.2500 0.2169 Mg
0.8032 0.7500 0.7169 Mg
0.0567 0.2500 0.7381 Pt
0.4433 0.7500 0.2381 Pt
0.5567 0.2500 0.7619 Pt
0.9433 0.7500 0.2619 Pt
```

Values from the calculation:
Uncorrected energy: -3.6265 eV/atom
Space-group type: Pnma, No. 62


Record 7
Here is a relaxed SrMg2Pt2 crystal from OQMD via LeMat-Bulk. Energies are from PBE-GGA.

POSCAR file:
```
SrMg2Pt2
1.0
-2.1436 2.1436 5.9231
2.1436 -2.1436 5.9231
2.1436 2.1436 -5.9231
Sr Mg Pt
1 2 2
Direct
0.0000 0.0000 0.0000 Sr
0.2500 0.7500 0.5000 Mg
0.7500 0.2500 0.5000 Mg
0.3875 0.3875 0.0000 Pt
0.6125 0.6125 0.0000 Pt
```

Values from the calculation:
Uncorrected energy: -4.1847 eV/atom
Space-group type: I4/mmm, No. 139


Record 8
Here is a relaxed SrMgZrPt crystal from OQMD via LeMat-Bulk. Energies are from PBE-GGA.

POSCAR file:
```
SrMgZrPt
1.0
0.0000 3.4836 3.4836
3.4836 0.0000 3.4836
3.4836 3.4836 0.0000
Sr Mg Zr Pt
1 1 1 1
Direct
0.0000 0.0000 0.0000 Sr
0.7500 0.7500 0.7500 Mg
0.2500 0.2500 0.2500 Zr
0.5000 0.5000 0.5000 Pt
```

Values from the calculation:
Uncorrected energy: -4.6304 eV/atom
ΔE to the lowest computed polymorph: 0 meV per atom
Space-group type: F-43m, No. 216


Record 9
Here is a relaxed SrMgZrPt crystal from OQMD via LeMat-Bulk. Energies are from PBE-GGA.

POSCAR file:
```
SrMgZrPt
1.0
0.0000 3.5942 3.5942
3.5942 0.0000 3.5942
3.5942 3.5942 0.0000
Sr Mg Zr Pt
1 1 1 1
Direct
0.0000 0.0000 0.0000 Sr
0.7500 0.7500 0.7500 Mg
0.5000 0.5000 0.5000 Zr
0.2500 0.2500 0.2500 Pt
```

Values from the calculation:
Uncorrected energy: -4.5952 eV/atom
ΔE to the lowest computed polymorph: 35 meV per atom
Space-group type: F-43m, No. 216


Record 10
Here is a relaxed Tb3Mg3TlPt2 crystal from OQMD via LeMat-Bulk. Energies are from PBE-GGA.

POSCAR file:
```
Tb3Mg3TlPt2
1.0
7.4861 0.0000 0.0000
-3.7430 6.4831 0.0000
0.0000 0.0000 4.2300
Tb Mg Tl Pt
3 3 1 2
Direct
0.0000 0.5757 0.0000 Tb
0.4243 0.4243 0.0000 Tb
0.5757 0.0000 0.0000 Tb
0.0000 0.2604 0.5000 Mg
0.2604 0.0000 0.5000 Mg
0.7396 0.7396 0.5000 Mg
0.0000 0.0000 0.0000 Tl
0.3333 0.6667 0.5000 Pt
0.6667 0.3333 0.5000 Pt
```

Values from the calculation:
Uncorrected energy: -4.3501 eV/atom
Space-group type: P-62m, No. 189


Record 11
Here is a relaxed Tb3Mg3Tl2Pt crystal from OQMD via LeMat-Bulk. Energies are from PBE-GGA.

POSCAR file:
```
Tb3Mg3Tl2Pt
1.0
7.5066 0.0000 0.0000
-3.7533 6.5009 0.0000
0.0000 0.0000 4.5072
Tb Mg Tl Pt
3 3 2 1
Direct
0.0000 0.6022 0.0000 Tb
0.3978 0.3978 0.0000 Tb
0.6022 0.0000 0.0000 Tb
0.0000 0.2311 0.5000 Mg
0.2311 0.0000 0.5000 Mg
0.7689 0.7689 0.5000 Mg
0.3333 0.6667 0.5000 Tl
0.6667 0.3333 0.5000 Tl
0.0000 0.0000 0.0000 Pt
```

Values from the calculation:
Uncorrected energy: -3.7905 eV/atom
Space-group type: P-62m, No. 189


Record 12
Here is a relaxed Tb2TmMg3Pt3 crystal from OQMD via LeMat-Bulk. Energies are from PBE-GGA.

POSCAR file:
```
Tb2TmMg3Pt3
1.0
4.0663 0.0000 0.0000
0.0000 6.3524 3.6766
0.0000 -6.3524 3.6766
Tb Tm Mg Pt
2 1 3 3
Direct
0.0000 0.2054 0.7946 Tb
0.0000 0.7946 0.2054 Tb
0.0000 0.6128 0.6128 Tm
0.5000 0.2058 0.4506 Mg
0.5000 0.4506 0.2058 Mg
0.5000 0.9589 0.9589 Mg
0.0000 0.2080 0.2080 Pt
0.5000 0.5395 0.8681 Pt
0.5000 0.8681 0.5395 Pt
```

Values from the calculation:
Uncorrected energy: -5.0259 eV/atom
Space-group type: Amm2, No. 38


Record 13
Here is a relaxed Th4MgPt crystal from OQMD via LeMat-Bulk. Energies are from PBE-GGA.

POSCAR file:
```
Th4MgPt
1.0
2.6686 1.5407 7.6072
-2.6686 1.5407 7.6072
0.0000 -3.0815 7.6072
Th Mg Pt
4 1 1
Direct
0.1235 0.1235 0.1235 Th
0.3605 0.3605 0.3605 Th
0.6395 0.6395 0.6395 Th
0.8765 0.8765 0.8765 Th
0.5000 0.5000 0.5000 Mg
0.0000 0.0000 0.0000 Pt
```

Values from the calculation:
Uncorrected energy: -6.2266 eV/atom
Space-group type: R-3m, No. 166


Record 14
Here is a relaxed Tm3Mg3TlPt2 crystal from OQMD via LeMat-Bulk. Energies are from PBE-GGA.

POSCAR file:
```
Tm3Mg3TlPt2
1.0
7.4314 0.0000 0.0000
-3.7157 6.4357 0.0000
0.0000 0.0000 4.1548
Tm Mg Tl Pt
3 3 1 2
Direct
0.0000 0.5767 0.0000 Tm
0.4233 0.4233 0.0000 Tm
0.5767 0.0000 0.0000 Tm
0.0000 0.2624 0.5000 Mg
0.2624 0.0000 0.5000 Mg
0.7376 0.7376 0.5000 Mg
0.0000 0.0000 0.0000 Tl
0.3333 0.6667 0.5000 Pt
0.6667 0.3333 0.5000 Pt
```

Values from the calculation:
Uncorrected energy: -4.2972 eV/atom
Space-group type: P-62m, No. 189


Record 15
Here is a relaxed YMgTlPt crystal from OQMD via LeMat-Bulk. Energies are from PBE-GGA.

POSCAR file:
```
YMgTlPt
1.0
0.0000 3.5056 3.5056
3.5056 0.0000 3.5056
3.5056 3.5056 0.0000
Y Mg Tl Pt
1 1 1 1
Direct
0.0000 0.0000 0.0000 Y
0.5000 0.5000 0.5000 Mg
0.7500 0.7500 0.7500 Tl
0.2500 0.2500 0.2500 Pt
```

Values from the calculation:
Uncorrected energy: -4.7024 eV/atom
ΔE to the lowest computed polymorph: 0 meV per atom
Space-group type: F-43m, No. 216


Record 16
Here is a relaxed YMgTlPt crystal from OQMD via LeMat-Bulk. Energies are from PBE-GGA.

POSCAR file:
```
YMgTlPt
1.0
0.0000 3.4643 3.4643
3.4643 0.0000 3.4643
3.4643 3.4643 0.0000
Y Mg Tl Pt
1 1 1 1
Direct
0.0000 0.0000 0.0000 Y
0.2500 0.2500 0.2500 Mg
0.5000 0.5000 0.5000 Tl
0.7500 0.7500 0.7500 Pt
```

Values from the calculation:
Uncorrected energy: -4.5899 eV/atom
ΔE to the lowest computed polymorph: 112 meV per atom
Space-group type: F-43m, No. 216


Record 17
Here is a relaxed YMgTlPt crystal from OQMD via LeMat-Bulk. Energies are from PBE-GGA.

POSCAR file:
```
YMgTlPt
1.0
0.0000 3.4572 3.4572
3.4572 0.0000 3.4572
3.4572 3.4572 0.0000
Y Mg Tl Pt
1 1 1 1
Direct
0.0000 0.0000 0.0000 Y
0.2500 0.2500 0.2500 Mg
0.7500 0.7500 0.7500 Tl
0.5000 0.5000 0.5000 Pt
```

Values from the calculation:
Uncorrected energy: -4.5280 eV/atom
ΔE to the lowest computed polymorph: 174 meV per atom
Space-group type: F-43m, No. 216


Record 18
Here is a relaxed YTm2Mg3Pt3 crystal from OQMD via LeMat-Bulk. Energies are from PBE-GGA.

POSCAR file:
```
YTm2Mg3Pt3
1.0
4.0595 0.0000 0.0000
0.0000 6.3495 3.6425
0.0000 -6.3495 3.6425
Y Tm Mg Pt
1 2 3 3
Direct
0.0000 0.0000 0.0000 Y
0.0000 0.4111 0.8192 Tm
0.0000 0.8192 0.4111 Tm
0.5000 0.1646 0.4106 Mg
0.5000 0.4106 0.1646 Mg
0.5000 0.6582 0.6582 Mg
0.0000 0.4152 0.4152 Pt
0.5000 0.0793 0.7398 Pt
0.5000 0.7398 0.0793 Pt
```

Values from the calculation:
Uncorrected energy: -5.2208 eV/atom
Space-group type: Amm2, No. 38


Record 19
Here is a relaxed Tm3Mg3ZnPt2 crystal from OQMD via LeMat-Bulk. Energies are from PBE-GGA.

POSCAR file:
```
Tm3Mg3ZnPt2
1.0
7.3882 0.0000 0.0000
-3.6941 6.3984 0.0000
0.0000 0.0000 4.0085
Tm Mg Zn Pt
3 3 1 2
Direct
0.0000 0.5816 0.0000 Tm
0.4184 0.4184 0.0000 Tm
0.5816 0.0000 0.0000 Tm
0.0000 0.2501 0.5000 Mg
0.2501 0.0000 0.5000 Mg
0.7499 0.7499 0.5000 Mg
0.0000 0.0000 0.0000 Zn
0.3333 0.6667 0.5000 Pt
0.6667 0.3333 0.5000 Pt
```

Values from the calculation:
Uncorrected energy: -4.2247 eV/atom
Space-group type: P-62m, No. 189


Record 20
Here is a relaxed Tm3MgZn2Pt3 crystal from OQMD via LeMat-Bulk. Energies are from PBE-GGA.

POSCAR file:
```
Tm3MgZn2Pt3
1.0
3.8981 0.0000 0.0000
0.0000 6.2761 3.6309
0.0000 -6.2761 3.6309
Tm Mg Zn Pt
3 1 2 3
Direct
0.0000 0.0000 0.0000 Tm
0.0000 0.3778 0.7994 Tm
0.0000 0.7994 0.3778 Tm
0.5000 0.6336 0.6336 Mg
0.5000 0.1405 0.3977 Zn
0.5000 0.3977 0.1405 Zn
0.0000 0.3859 0.3859 Pt
0.5000 0.0492 0.7229 Pt
0.5000 0.7229 0.0492 Pt
```

Values from the calculation:
Uncorrected energy: -4.9572 eV/atom
Space-group type: Amm2, No. 38